Density functional theory data (PBEsol) for TaCd2Co after structural relaxation.

a b c (Å): 2.8004 4.5723 5.2604
angles (deg): 90.00 103.86 90.00
Space group P2/m (No. 10)
Inequivalent atoms, fractional coordinates:
Ta (0.0000, 0.0000, 0.0000) (multiplicity 1)
Cd (0.3411, 0.5000, 0.7346) (multiplicity 2)
Co (0.5000, 0.0000, 0.5000) (multiplicity 1)

Computed properties:
formation energy from the elements: 0.379 eV per atom
raw total energy: -5.292 eV/atom
offset from the most stable computed form: 77 meV per atom

Density functional theory data (PBEsol) for InCoCu2 after structural relaxation.

a b c (Å): 2.7688 2.7688 25.2148
angles (deg): 90.00 90.00 120.00
Space group R-3m (No. 166, hexagonal axes)
Inequivalent atoms, fractional coordinates:
In (0.0000, 0.0000, 0.0000) (multiplicity 3)
Co (0.0000, 0.0000, 0.5000) (multiplicity 3)
Cu (0.0000, 0.0000, 0.2422) (multiplicity 6)

Computed properties:
formation energy from the elements: 0.400 eV per atom
raw total energy: -4.448 eV/atom

| no. | DOS(E_F) (states/eV per cell) |
| --- | --- |
| 1 | 3.70 |
| 2 | 8.42 |